Computed, not measured: crystalline CeBiRh4 at its relaxed geometry at the GGA-PBE level of DFT.

The structure in POSCAR format:
```
CeBiRh4
1.0
-5.325 0.013 -0.659
-2.123 -1.436 -4.714
-2.660 -4.639 -0.443
Bi Rh Ce
1 4 1
Cartesian
0.000 0.000 0.000
-5.257 -3.071 -1.269
-3.648 -3.799 -3.307
-6.325 -3.792 -3.639
-4.987 -1.460 -3.416
-2.527 -1.515 -1.454
```

**Symmetry**: F-43m, No. 216
**Crystal system**: cubic
**Energy relative to the elements**: -0.4065 eV per atom
**Volume**: 18.2 Å³ per atom